# RbPrPu2O8 | Alexandria | GGA-PBE | optimized geometry
# Calculated volume, Å³ per atom: 13.9
# Spin magnetization, μB/atom: 0.3333
# ΔE_f (raw), eV/f.u.: -28.51
# Density of states at the Fermi level, states/eV/f.u.: 9.28
data_RbPrPu2O8
_chemical_formula_sum 'Rb2 Pr2 Pu4 O16'
_symmetry_space_group_name_H-M 'I -4 m 2'
_symmetry_Int_Tables_number 119
_symmetry_space_group_name_Hall 'I -4 -2'
_cell_length_a 5.649
_cell_length_b 5.649
_cell_length_c 10.475
_cell_angle_alpha 90.00
_cell_angle_beta 90.00
_cell_angle_gamma 90.00
loop_
_atom_site_label
_atom_site_type_symbol
_atom_site_fract_x
_atom_site_fract_y
_atom_site_fract_z
Rb1 Rb 0.000 0.000 0.000
Pr1 Pr 0.000 0.500 0.250
Pu1 Pu 0.000 0.000 0.500
Pu2 Pu 0.000 0.500 0.750
O1 O 0.208 0.235 0.628